A relaxed Ac3MgN crystal. Source: Alexandria, functional PBE-GGA.

Lattice parameters (Å, degrees): 5.4037 5.4037 5.4037 90.00 90.00 90.00
Last column: nearest neighbours and their distance in Å.
Element x y z (fractional)
Ac 0.0000 0.5000 0.0000  2 N 2.70
Ac 0.0000 0.0000 0.5000  2 N 2.70
Ac 0.5000 0.0000 0.0000  2 N 2.70
Mg 0.5000 0.5000 0.5000  12 Ac 3.82
N 0.0000 0.0000 0.0000  6 Ac 2.70

## Properties
The theoretical density comes out at 7.6 g/cm³. The energy comes out at -0.1807 hartree per atom. Its symmetry is Pm-3m. The density of states at the Fermi level is 5.71 states/eV/cell. Its formation energy (no corrections) is -469 meV/atom.